Entry one
Here is PtSe2Br after structural relaxation from Alexandria. Energies are from GGA-PBE.

Lattice parameters (Å, degrees): 3.6634 8.2073 6.8178 90.00 90.00 116.49
Sites, in units of the cell vectors:
1 Se 0.5700 0.3198 0.0176
2 Pt 0.8172 0.5672 0.7500
3 Pt 0.1828 0.4328 0.2500
4 Br 0.1732 0.9232 0.2500
5 Se 0.4300 0.6802 0.9824
6 Se 0.5700 0.3198 0.4824
7 Se 0.4300 0.6802 0.5176
8 Br 0.8268 0.0768 0.7500

Values from the calculation:
Space group: Pmmn
Magnetization, μB per formula unit: 0.00

***

Entry two
Here is PtSe2Br after structural relaxation from Alexandria. Energies are from GGA-PBE.

Lattice parameters (Å, degrees): 4.2576 4.2576 8.8775 90.00 90.00 133.04
Sites, in units of the cell vectors:
1 Pt 0.5000 0.5000 0.7737
2 Se 0.0000 0.0000 0.9643
3 Br 0.0000 0.0000 0.5625
4 Se 0.5000 0.5000 0.1995

Values from the calculation:
Space group: Cmm2
Magnetization, μB per formula unit: 0.63

***

Entry three
Here is PtSe2Br after structural relaxation from Alexandria. Energies are from GGA-PBE.

Lattice parameters (Å, degrees): 3.4217 3.4217 8.6029 90.00 90.00 90.00
Sites, in units of the cell vectors:
1 Br 0.0000 0.0000 0.5331
2 Pt 0.5000 0.5000 0.9335
3 Se 0.5000 0.5000 0.2123
4 Se 0.0000 0.0000 0.8212

Values from the calculation:
Space group: P4mm
Magnetization, μB per formula unit: 0.00

***

Energy ordering: entry one at the bottom, the next structure 327 meV/atom above.